# PBE InH6Pd8, optimized geometry
data_InH6Pd8
_cell_length_a 7.9736
_cell_length_b 7.9736
_cell_length_c 2.9151
_cell_angle_alpha 90.00
_cell_angle_beta 90.00
_cell_angle_gamma 120.00
_space_group_name_H-M_alt 'P -3'
_space_group_IT_number 147
loop_
_space_group_symop_operation_xyz
'x,y,z'
'-x,-y,-z'
'-y,x-y,z'
'y,-x+y,-z'
'-x+y,-x,z'
'x-y,x,-z'
loop_
_atom_site_label
_atom_site_type_symbol
_atom_site_fract_x
_atom_site_fract_y
_atom_site_fract_z
_atom_site_occupancy
In1 In 0.0000 0.0000 0.0000 1
H1 H 0.1494 0.7025 0.8040 1
Pd1 Pd 0.0208 0.3380 0.6969 1
Pd2 Pd 0.3333 0.6667 0.1192 1
# * calculated volume: 160.5 Å³/cell
# * final energy: -66.71 eV/cell
# * M_tot: 0.00 μB per formula unit
# * calculated density: 10.1 g/cm3